PBE Ti3NbPt12, relaxed; total energy = -7.42 eV per atom; total moment = 0.00 μB/cell
1.0
3.967 0.000 0.000
0.000 3.967 0.000
0.000 0.000 15.830
Ti Nb Pt
3 1 12
Direct
0.000 0.000 0.000
0.000 0.000 0.246
0.000 0.000 0.754
0.000 0.000 0.500
0.000 0.500 0.124
0.000 0.500 0.373
0.000 0.500 0.627
0.000 0.500 0.876
0.500 0.000 0.124
0.500 0.000 0.373
0.500 0.000 0.627
0.500 0.000 0.876
0.500 0.500 0.000
0.500 0.500 0.249
0.500 0.500 0.500
0.500 0.500 0.751

***

PBE BaMnS2, relaxed; total energy = -5.71 eV per atom; total moment = 0.00 μB/cell; formation energy (no corrections) = -0.87 eV/atom
1.0
-3.017 3.017 5.531
3.017 -3.017 5.531
3.017 3.017 -5.531
Ba Mn S
2 2 4
Direct
0.000 0.000 0.000
0.750 0.250 0.500
0.250 0.750 0.500
0.500 0.500 0.000
0.255 0.625 0.130
0.375 0.505 0.630
0.495 0.125 0.870
0.875 0.745 0.370

***

> What is the total energy in the second record?

-5.71 eV per atom